Record 1
A geometry-optimized HgSe2 structure. Source: Alexandria via LeMat-Bulk, functional GGA-PBE.

a = 8.721 Å, b = 8.721 Å, c = 8.721 Å
α = 156.20°, β = 156.20°, γ = 33.90°
Fractional coordinates of all 3 atoms:
Se: 0.272 0.272 0.000
Hg: 0.500 0.500 0.000
Se: 0.728 0.728 0.000

Values from the calculation:
raw total energy: -2.2954 eV per atom
density of states at the Fermi level: 0.183 states/eV per atom
symmetry: No. 139
E_form (uncorrected): 128.2 meV per atom
relative energy among the computed polymorphs: 0.149 eV per atom

Record 2
A geometry-optimized Hg3Se structure. Source: Alexandria via LeMat-Bulk, functional GGA-PBE.

a = 2.974 Å, b = 8.301 Å, c = 6.101 Å
α = 132.86°, β = 104.11°, γ = 90.00°
Fractional coordinates of all 4 atoms:
Hg: 0.500 0.539 0.000
Hg: 0.244 0.540 0.488
Se: 0.000 0.037 0.000
Hg: 0.756 0.052 0.512

Values from the calculation:
raw total energy: -0.9932 eV per atom
density of states at the Fermi level: 0.517 states/eV per atom
symmetry: No. 44
E_form (uncorrected): 104.2 meV per atom

Record 3
A geometry-optimized HgSe5 structure. Source: Alexandria via LeMat-Bulk, functional GGA-PBE.

a = 4.670 Å, b = 4.670 Å, c = 12.324 Å
α = 62.01°, β = 62.01°, γ = 46.99°
Fractional coordinates of all 6 atoms:
Se: 0.815 0.815 0.449
Se: 0.263 0.263 0.126
Se: 0.284 0.284 0.601
Se: 0.573 0.573 0.278
Se: 0.651 0.651 0.798
Hg: 0.248 0.248 0.916

Values from the calculation:
raw total energy: -2.8477 eV per atom
density of states at the Fermi level: 0.297 states/eV per atom
symmetry: No. 8
E_form (uncorrected): 106.4 meV per atom
relative energy among the computed polymorphs: 0.000 eV per atom

Record 4
A geometry-optimized HgSe2 structure. Source: Alexandria via LeMat-Bulk, functional GGA-PBE.

a = 5.868 Å, b = 5.868 Å, c = 5.868 Å
α = 60.00°, β = 60.00°, γ = 60.00°
Fractional coordinates of all 6 atoms:
Hg: 0.750 0.750 0.750
Se: 0.625 0.125 0.125
Hg: 0.500 0.500 0.500
Se: 0.125 0.125 0.125
Se: 0.125 0.625 0.125
Se: 0.125 0.125 0.625

Values from the calculation:
raw total energy: -2.0157 eV per atom
density of states at the Fermi level: 0.405 states/eV per atom
symmetry: No. 227
E_form (uncorrected): 407.9 meV per atom
relative energy among the computed polymorphs: 0.429 eV per atom

Record 5
A geometry-optimized Hg3Se structure. Source: Alexandria via LeMat-Bulk, functional GGA-PBE.

a = 13.371 Å, b = 13.371 Å, c = 13.371 Å
α = 162.35°, β = 162.35°, γ = 25.06°
Fractional coordinates of all 8 atoms:
Hg: 0.000 0.500 0.500
Se: 0.625 0.625 0.000
Hg: 0.250 0.750 0.500
Hg: 0.875 0.875 0.000
Hg: 0.125 0.125 0.000
Hg: 0.750 0.250 0.500
Hg: 0.500 0.000 0.500
Se: 0.375 0.375 0.000

Values from the calculation:
raw total energy: -1.0547 eV per atom
density of states at the Fermi level: 0.245 states/eV per atom
symmetry: No. 139
E_form (uncorrected): 42.8 meV per atom

Record 6
A geometry-optimized Hg3Se structure. Source: Alexandria via LeMat-Bulk, functional GGA-PBE.

a = 4.307 Å, b = 4.300 Å, c = 5.815 Å
α = 90.00°, β = 90.00°, γ = 90.00°
Fractional coordinates of all 4 atoms:
Hg: 0.500 0.334 0.500
Hg: 0.000 0.834 0.500
Hg: 0.500 0.333 0.000
Se: 0.000 0.833 0.000

Values from the calculation:
raw total energy: -1.0731 eV per atom
density of states at the Fermi level: 0.324 states/eV per atom
symmetry: No. 123
E_form (uncorrected): 24.3 meV per atom